No. 1
DFT (PBE-GGA) results for CoP2Pb after structural relaxation.

Structure (CIF):
```
data_CoP2Pb
_chemical_formula_sum 'Co1 P2 Pb1'
_space_group_name_H-M_alt 'P 1'
_space_group_IT_number 1
_space_group_name_Hall 'P 1'
_cell_length_a 3.836
_cell_length_b 3.362
_cell_length_c 5.968
_cell_angle_alpha 90.00
_cell_angle_beta 101.55
_cell_angle_gamma 90.00
loop_
_atom_site_label
_atom_site_fract_x
_atom_site_fract_y
_atom_site_fract_z
_atom_site_occupancy
Co1 0.000 0.000 0.000 1
P1 0.066 0.500 0.757 1
P2 0.461 0.000 0.794 1
Pb1 0.618 0.500 0.273 1
```

crystal system = monoclinic
theoretical density = 7.22 Mg/m³
ΔE_f = 0.033 eV/atom
final energy = -21.501 eV for the cell shown

---

No. 2
DFT (PBE-GGA) results for CoP2Pb after structural relaxation.

Structure (CIF):
```
data_CoP2Pb
_chemical_formula_sum 'Co1 P2 Pb1'
_space_group_name_H-M_alt 'P 1'
_space_group_IT_number 1
_space_group_name_Hall 'P 1'
_cell_length_a 3.755
_cell_length_b 3.755
_cell_length_c 4.930
_cell_angle_alpha 90.00
_cell_angle_beta 90.00
_cell_angle_gamma 90.00
loop_
_atom_site_label
_atom_site_fract_x
_atom_site_fract_y
_atom_site_fract_z
_atom_site_occupancy
Co1 0.000 0.000 0.000 1
P1 0.000 0.500 0.500 1
P2 0.500 0.000 0.500 1
Pb1 0.500 0.500 0.000 1
```

crystal system = tetragonal
theoretical density = 7.84 Mg/m³
ΔE_f = 0.733 eV/atom
final energy = -18.702 eV for the cell shown

---

No. 3
DFT (PBE-GGA) results for CoPPb2 after structural relaxation.

Structure (CIF):
```
data_CoPPb2
_chemical_formula_sum 'Co1 P1 Pb2'
_space_group_name_H-M_alt 'P 1'
_space_group_IT_number 1
_space_group_name_Hall 'P 1'
_cell_length_a 7.017
_cell_length_b 7.017
_cell_length_c 7.017
_cell_angle_alpha 149.75
_cell_angle_beta 146.61
_cell_angle_gamma 45.67
loop_
_atom_site_label
_atom_site_fract_x
_atom_site_fract_y
_atom_site_fract_z
_atom_site_occupancy
Co1 0.000 0.000 0.000 1
P1 0.084 0.584 0.500 1
Pb1 0.404 0.404 0.000 1
Pb2 0.670 0.170 0.500 1
```

crystal system = orthorhombic
theoretical density = 8.77 Mg/m³
ΔE_f = 0.110 eV/atom
final energy = -19.494 eV for the cell shown

---

No. 4
DFT (PBE-GGA) results for CoP2Pb after structural relaxation.

Structure (CIF):
```
data_CoP2Pb
_chemical_formula_sum 'Co1 P2 Pb1'
_space_group_name_H-M_alt 'P 1'
_space_group_IT_number 1
_space_group_name_Hall 'P 1'
_cell_length_a 6.401
_cell_length_b 6.401
_cell_length_c 6.401
_cell_angle_alpha 33.38
_cell_angle_beta 33.38
_cell_angle_gamma 33.38
loop_
_atom_site_label
_atom_site_fract_x
_atom_site_fract_y
_atom_site_fract_z
_atom_site_occupancy
Co1 0.000 0.000 0.000 1
P1 0.287 0.287 0.287 1
P2 0.713 0.713 0.713 1
Pb1 0.500 0.500 0.500 1
```

crystal system = trigonal
theoretical density = 7.71 Mg/m³
ΔE_f = -0.047 eV/atom
final energy = -21.821 eV for the cell shown

---

No. 5
DFT (PBE-GGA) results for Co2PPb after structural relaxation.

Structure (CIF):
```
data_Co2PPb
_chemical_formula_sum 'Co2 P1 Pb1'
_space_group_name_H-M_alt 'P 1'
_space_group_IT_number 1
_space_group_name_Hall 'P 1'
_cell_length_a 4.789
_cell_length_b 4.789
_cell_length_c 4.789
_cell_angle_alpha 139.31
_cell_angle_beta 109.37
_cell_angle_gamma 84.84
loop_
_atom_site_label
_atom_site_fract_x
_atom_site_fract_y
_atom_site_fract_z
_atom_site_occupancy
Co1 0.183 0.183 0.000 1
Co2 0.817 0.817 0.000 1
P1 0.000 0.500 0.500 1
Pb1 0.500 0.000 0.500 1
```

crystal system = orthorhombic
theoretical density = 9.07 Mg/m³
ΔE_f = 0.195 eV/atom
ΔE to the lowest computed polymorph = 325 meV/atom
final energy = -22.550 eV for the cell shown

---

No. 6
DFT (PBE-GGA) results for CoP3Pb after structural relaxation.

Structure (CIF):
```
data_CoP3Pb
_chemical_formula_sum 'Co1 P3 Pb1'
_space_group_name_H-M_alt 'P 1'
_space_group_IT_number 1
_space_group_name_Hall 'P 1'
_cell_length_a 4.507
_cell_length_b 4.507
_cell_length_c 4.507
_cell_angle_alpha 90.00
_cell_angle_beta 90.00
_cell_angle_gamma 90.00
loop_
_atom_site_label
_atom_site_fract_x
_atom_site_fract_y
_atom_site_fract_z
_atom_site_occupancy
Co1 0.000 0.000 0.000 1
P1 0.000 0.000 0.500 1
P2 0.000 0.500 0.000 1
P3 0.500 0.000 0.000 1
Pb1 0.500 0.500 0.500 1
```

crystal system = cubic
theoretical density = 6.51 Mg/m³
ΔE_f = 0.467 eV/atom
ΔE to the lowest computed polymorph = 0 meV/atom
final energy = -24.709 eV for the cell shown

---

No. 7
DFT (PBE-GGA) results for CoP2Pb after structural relaxation.

Structure (CIF):
```
data_CoP2Pb
_chemical_formula_sum 'Co1 P2 Pb1'
_space_group_name_H-M_alt 'P 1'
_space_group_IT_number 1
_space_group_name_Hall 'P 1'
_cell_length_a 4.551
_cell_length_b 4.551
_cell_length_c 4.333
_cell_angle_alpha 106.78
_cell_angle_beta 106.78
_cell_angle_gamma 109.84
loop_
_atom_site_label
_atom_site_fract_x
_atom_site_fract_y
_atom_site_fract_z
_atom_site_occupancy
Co1 0.000 0.000 0.000 1
P1 0.000 0.500 0.500 1
P2 0.500 0.000 0.500 1
Pb1 0.500 0.500 0.000 1
```

crystal system = monoclinic
theoretical density = 7.46 Mg/m³
ΔE_f = 0.599 eV/atom
final energy = -19.236 eV for the cell shown

---

No. 8
DFT (PBE-GGA) results for Co2PPb after structural relaxation.

Structure (CIF):
```
data_Co2PPb
_chemical_formula_sum 'Co2 P1 Pb1'
_space_group_name_H-M_alt 'P 1'
_space_group_IT_number 1
_space_group_name_Hall 'P 1'
_cell_length_a 3.554
_cell_length_b 3.554
_cell_length_c 6.151
_cell_angle_alpha 90.14
_cell_angle_beta 90.14
_cell_angle_gamma 59.97
loop_
_atom_site_label
_atom_site_fract_x
_atom_site_fract_y
_atom_site_fract_z
_atom_site_occupancy
Co1 0.000 0.000 0.000 1
Co2 0.667 0.667 0.252 1
P1 0.334 0.334 0.139 1
Pb1 0.665 0.665 0.682 1
```

crystal system = monoclinic
theoretical density = 8.79 Mg/m³
ΔE_f = -0.126 eV/atom
ΔE to the lowest computed polymorph = 4 meV/atom
final energy = -23.834 eV for the cell shown

---

No. 9
DFT (PBE-GGA) results for CoPPb2 after structural relaxation.

Structure (CIF):
```
data_CoPPb2
_chemical_formula_sum 'Co1 P1 Pb2'
_space_group_name_H-M_alt 'P 1'
_space_group_IT_number 1
_space_group_name_Hall 'P 1'
_cell_length_a 4.874
_cell_length_b 4.874
_cell_length_c 3.592
_cell_angle_alpha 90.00
_cell_angle_beta 90.00
_cell_angle_gamma 90.00
loop_
_atom_site_label
_atom_site_fract_x
_atom_site_fract_y
_atom_site_fract_z
_atom_site_occupancy
Co1 0.000 0.000 0.000 1
P1 0.500 0.500 0.000 1
Pb1 0.000 0.500 0.500 1
Pb2 0.500 0.000 0.500 1
```

crystal system = tetragonal
theoretical density = 9.81 Mg/m³
ΔE_f = 0.592 eV/atom
final energy = -17.564 eV for the cell shown

---

No. 10
DFT (PBE-GGA) results for Co2PPb after structural relaxation.

Structure (CIF):
```
data_Co2PPb
_chemical_formula_sum 'Co2 P1 Pb1'
_space_group_name_H-M_alt 'P 1'
_space_group_IT_number 1
_space_group_name_Hall 'P 1'
_cell_length_a 6.621
_cell_length_b 6.621
_cell_length_c 6.621
_cell_angle_alpha 153.51
_cell_angle_beta 151.93
_cell_angle_gamma 38.98
loop_
_atom_site_label
_atom_site_fract_x
_atom_site_fract_y
_atom_site_fract_z
_atom_site_occupancy
Co1 0.000 0.000 0.000 1
Co2 0.829 0.329 0.500 1
P1 0.384 0.884 0.500 1
Pb1 0.639 0.639 0.000 1
```

crystal system = orthorhombic
theoretical density = 9.72 Mg/m³
ΔE_f = 0.004 eV/atom
ΔE to the lowest computed polymorph = 135 meV/atom
final energy = -23.314 eV for the cell shown

---

No. 11
DFT (PBE-GGA) results for Co2PPb after structural relaxation.

Structure (CIF):
```
data_Co2PPb
_chemical_formula_sum 'Co2 P1 Pb1'
_space_group_name_H-M_alt 'P 1'
_space_group_IT_number 1
_space_group_name_Hall 'P 1'
_cell_length_a 4.384
_cell_length_b 4.384
_cell_length_c 4.384
_cell_angle_alpha 60.00
_cell_angle_beta 60.00
_cell_angle_gamma 60.00
loop_
_atom_site_label
_atom_site_fract_x
_atom_site_fract_y
_atom_site_fract_z
_atom_site_occupancy
Co1 0.250 0.250 0.250 1
Co2 0.750 0.750 0.750 1
P1 0.000 0.000 0.000 1
Pb1 0.500 0.500 0.500 1
```

crystal system = cubic
theoretical density = 9.92 Mg/m³
ΔE_f = 0.480 eV/atom
ΔE to the lowest computed polymorph = 611 meV/atom
final energy = -21.409 eV for the cell shown

---

No. 12
DFT (PBE-GGA) results for CoP2Pb after structural relaxation.

Structure (CIF):
```
data_CoP2Pb
_chemical_formula_sum 'Co1 P2 Pb1'
_space_group_name_H-M_alt 'P 1'
_space_group_IT_number 1
_space_group_name_Hall 'P 1'
_cell_length_a 3.725
_cell_length_b 3.725
_cell_length_c 6.793
_cell_angle_alpha 94.43
_cell_angle_beta 94.43
_cell_angle_gamma 52.53
loop_
_atom_site_label
_atom_site_fract_x
_atom_site_fract_y
_atom_site_fract_z
_atom_site_occupancy
Co1 0.000 0.000 0.000 1
P1 0.297 0.297 0.870 1
P2 0.703 0.703 0.130 1
Pb1 0.500 0.500 0.500 1
```

crystal system = monoclinic
theoretical density = 7.31 Mg/m³
ΔE_f = -0.062 eV/atom
final energy = -21.880 eV for the cell shown

---

Which value of final energy does entry 7 give? -19.236 eV for the cell shown

---

Which value of final energy does entry 5 give? -22.550 eV for the cell shown